(1)
A plane-wave DFT calculation with GGA-PBE was carried out for crystalline Mg3As2Rh3 at its relaxed geometry.

Unit cell a=7.2745 b=13.8069 c=5.5347 alpha=90.00 beta=90.00 gamma=90.00
Last column: nearest neighbours and their distance in Å.
Element x y z (fractional)
Mg 0.0164 0.1092 0.1285  6 Rh 2.83-3.10, 3 As 2.91-3.00
Mg 0.0164 0.3908 0.1285  6 Rh 2.83-3.10, 3 As 2.91-3.00
Mg 0.1661 0.2500 0.5818  4 Rh 2.71-2.90, 4 As 2.90-2.91
Mg 0.3339 0.7500 0.0818  4 Rh 2.71-2.90, 4 As 2.90-2.91
Mg 0.4836 0.6092 0.6285  6 Rh 2.83-3.10, 3 As 2.91-3.00
Mg 0.4836 0.8908 0.6285  6 Rh 2.83-3.10, 3 As 2.91-3.00
Mg 0.5164 0.1092 0.3715  6 Rh 2.83-3.10, 3 As 2.91-3.00
Mg 0.5164 0.3908 0.3715  6 Rh 2.83-3.10, 3 As 2.91-3.00
Mg 0.6661 0.2500 0.9182  4 Rh 2.71-2.90, 4 As 2.90-2.91
Mg 0.8339 0.7500 0.4182  4 Rh 2.71-2.90, 4 As 2.90-2.91
Mg 0.9836 0.6092 0.8715  6 Rh 2.83-3.10, 3 As 2.91-3.00
Mg 0.9836 0.8908 0.8715  6 Rh 2.83-3.10, 3 As 2.91-3.00
As 0.1321 0.6119 0.3770  4 Rh 2.39-2.45
As 0.1321 0.8881 0.3770  4 Rh 2.39-2.45
As 0.3679 0.1119 0.8770  4 Rh 2.39-2.45
As 0.3679 0.3881 0.8770  4 Rh 2.39-2.45
As 0.6321 0.6119 0.1230  4 Rh 2.39-2.45
As 0.6321 0.8881 0.1230  4 Rh 2.39-2.45
As 0.8679 0.1119 0.6230  4 Rh 2.39-2.45
As 0.8679 0.3881 0.6230  4 Rh 2.39-2.45
Rh 0.1771 0.0444 0.5692  3 As 2.39-2.45
Rh 0.1771 0.4556 0.5692  3 As 2.39-2.45
Rh 0.2007 0.7500 0.6246  2 As 2.40
Rh 0.2993 0.2500 0.1246  2 As 2.40
Rh 0.3229 0.5444 0.0692  3 As 2.39-2.45
Rh 0.3229 0.9556 0.0692  3 As 2.39-2.45
Rh 0.6771 0.0444 0.9308  3 As 2.39-2.45
Rh 0.6771 0.4556 0.9308  3 As 2.39-2.45
Rh 0.7007 0.7500 0.8754  2 As 2.40
Rh 0.7993 0.2500 0.3754  2 As 2.40
Rh 0.8229 0.5444 0.4308  3 As 2.39-2.45
Rh 0.8229 0.9556 0.4308  3 As 2.39-2.45

Output
* raw total energy: -161.53 eV per cell
* formation enthalpy at 0 K: -0.531 eV/atom

=====

(2)
A plane-wave DFT calculation with GGA-PBE was carried out for crystalline MgAs2Rh at its relaxed geometry.

Unit cell a=4.1543 b=4.1543 c=5.6624 alpha=111.69 beta=111.69 gamma=57.41
Last column: nearest neighbours and their distance in Å.
Element x y z (fractional)
Mg 0.0000 0.0000 0.0000  1 Rh 2.72, 6 As 2.74-2.94
As 0.5788 0.5788 0.7248  3 Rh 2.57, 3 Mg 2.74-2.80
As 0.7945 0.7945 0.3258  3 Rh 2.58-2.62, 1 Mg 2.82
Rh 0.1904 0.1904 0.5298  6 As 2.57-2.62, 1 Mg 2.72

Output
* raw total energy: -19.74 eV per cell
* formation enthalpy at 0 K: -0.374 eV/atom

=====

(3)
A plane-wave DFT calculation with GGA-PBE was carried out for crystalline MgAs4Rh at its relaxed geometry.

Unit cell a=5.4599 b=5.4599 c=5.4599 alpha=60.00 beta=60.00 gamma=60.00
Last column: nearest neighbours and their distance in Å.
Element x y z (fractional)
Mg 0.0000 0.0000 0.0000  12 As 3.20, 4 Rh 3.34
As 0.3745 0.3745 0.3745  6 As 2.72-2.74
As 0.3745 0.3745 0.8765  6 As 2.72-2.74
As 0.3745 0.8765 0.3745  6 As 2.72-2.74
As 0.8765 0.3745 0.3745  6 As 2.72-2.74
Rh 0.7500 0.7500 0.7500  12 As 3.20, 4 Mg 3.34

Output
* raw total energy: -25.28 eV per cell
* formation enthalpy at 0 K: 0.378 eV/atom

=====

(4)
A plane-wave DFT calculation with GGA-PBE was carried out for crystalline MgAs2Rh at its relaxed geometry.

Unit cell a=3.9965 b=4.3730 c=4.6901 alpha=90.00 beta=115.02 gamma=90.00
Last column: nearest neighbours and their distance in Å.
Element x y z (fractional)
Mg 0.0000 0.0000 0.0000  3 As 2.51-2.66
As 0.2446 0.5000 0.5215  3 Rh 2.56-2.62
As 0.7062 0.0000 0.4087  2 Rh 2.50, 3 Mg 2.51-2.66
Rh 0.5458 0.5000 0.1248  5 As 2.50-2.62

Output
* raw total energy: -19.40 eV per cell
* formation enthalpy at 0 K: -0.290 eV/atom

=====

(5)
A plane-wave DFT calculation with GGA-PBE was carried out for crystalline MgAsRh2 at its relaxed geometry.

Unit cell a=3.0138 b=3.8883 c=5.2034 alpha=90.00 beta=90.00 gamma=90.00
Last column: nearest neighbours and their distance in Å.
Element x y z (fractional)
Mg 0.0000 0.0000 0.0000  6 Rh 2.58-2.65
As 0.5000 0.5000 0.6799  6 Rh 2.54-2.66
Rh 0.0000 0.0000 0.5044  2 Mg 2.58-2.62, 4 As 2.62
Rh 0.5000 0.5000 0.1917  2 As 2.54-2.66, 4 Mg 2.65

Output
* raw total energy: -22.42 eV per cell
* formation enthalpy at 0 K: -0.367 eV/atom

=====

(6)
A plane-wave DFT calculation with GGA-PBE was carried out for crystalline MgAsRh2 at its relaxed geometry.

Unit cell a=5.4825 b=5.4825 c=5.4825 alpha=147.54 beta=135.26 gamma=56.35
Last column: nearest neighbours and their distance in Å.
Element x y z (fractional)
Mg 0.0000 0.0000 0.0000  4 Rh 2.63, 2 As 2.92
As 0.7431 0.2431 0.5000  6 Rh 2.44-2.61
Rh 0.2798 0.7798 0.5000  4 As 2.61
Rh 0.5471 0.5471 0.0000  2 As 2.44, 4 Mg 2.63

Output
* raw total energy: -22.54 eV per cell
* formation enthalpy at 0 K: -0.398 eV/atom